Compound: Li7Mg2Zn2
Source: Alexandria
Functional: PBE-GGA
Structure: optimized geometry

a = 5.6338 Å, b = 8.4699 Å, c = 5.6338 Å
α = 89.92°, β = 122.82°, γ = 90.08°
With the nearest neighbours (Å) after each atom.
Element x y z (fractional)
Li1 0.5012 0.7614 0.4988  2 Zn 2.62, 2 Mg 2.78, 4 Li 2.92-2.93
Li2 0.0000 0.0000 0.0000  6 Mg 3.04-3.30, 4 Li 3.37
Li3 0.4991 0.3318 0.0007  5 Li 2.69-2.93, 2 Zn 2.85-2.86
Li4 0.4988 0.2386 0.5012  2 Zn 2.62, 2 Mg 2.78, 4 Li 2.92-2.93
Li5 0.0007 0.6682 0.4991  5 Li 2.69-2.93, 2 Zn 2.85-2.86
Li6 0.9993 0.3318 0.5009  5 Li 2.69-2.93, 2 Zn 2.85-2.86
Li7 0.5009 0.6682 0.9993  5 Li 2.69-2.93, 2 Zn 2.85-2.86
Mg1 0.3075 0.9986 0.6925  3 Li 2.78-3.04, 2 Mg 2.93
Mg2 0.6925 0.0014 0.3075  3 Li 2.78-3.04, 2 Mg 2.93
Zn1 0.7607 0.5000 0.7607  2 Zn 2.58-2.81, 6 Li 2.62-2.86
Zn2 0.2393 0.5000 0.2393  2 Zn 2.58-2.81, 6 Li 2.62-2.86

ΔH_f (0 K) = 71.1 meV/atom
polymorph energy (0 for the lowest one) = 0.112 eV per atom

Compound: Li15Mg6Zn8
Source: Alexandria
Functional: PBE-GGA
Structure: optimized geometry

a = 8.8479 Å, b = 8.8479 Å, c = 8.8479 Å
α = 60.00°, β = 60.00°, γ = 60.00°
With the nearest neighbours (Å) after each atom.
Element x y z (fractional)
Zn1 0.6462 0.1179 0.1179  7 Li 2.56-2.82
Zn2 0.3538 0.8821 0.8821  7 Li 2.56-2.82
Zn3 0.8821 0.8821 0.3538  7 Li 2.56-2.82
Zn4 0.1179 0.1179 0.1179  7 Li 2.56-2.82
Zn5 0.1179 0.1179 0.6462  7 Li 2.56-2.82
Zn6 0.8821 0.3538 0.8821  7 Li 2.56-2.82
Zn7 0.8821 0.8821 0.8821  7 Li 2.56-2.82
Zn8 0.1179 0.6462 0.1179  7 Li 2.56-2.82
Mg1 0.7092 0.2908 0.2908  4 Zn 3.01, 8 Li 3.03-3.17
Mg2 0.2908 0.7092 0.2908  4 Zn 3.01, 8 Li 3.03-3.17
Mg3 0.7092 0.7092 0.2908  4 Zn 3.01, 8 Li 3.03-3.17
Mg4 0.2908 0.2908 0.7092  4 Zn 3.01, 8 Li 3.03-3.17
Mg5 0.7092 0.2908 0.7092  4 Zn 3.01, 8 Li 3.03-3.17
Mg6 0.2908 0.7092 0.7092  4 Zn 3.01, 8 Li 3.03-3.17
Li1 0.9934 0.6689 0.6689  3 Li 2.55, 3 Zn 2.82
Li2 0.3311 0.3311 0.3311  3 Li 2.55, 3 Zn 2.82
Li3 0.5000 0.5000 0.0000  4 Li 2.55, 4 Zn 2.76
Li4 0.3311 0.3311 0.0066  3 Li 2.55, 3 Zn 2.82
Li5 0.3311 0.0066 0.3311  3 Li 2.55, 3 Zn 2.82
Li6 0.6689 0.6689 0.9934  3 Li 2.55, 3 Zn 2.82
Li7 0.0066 0.3311 0.3311  3 Li 2.55, 3 Zn 2.82
Li8 0.0000 0.0000 0.5000  4 Li 2.55, 4 Zn 2.76
Li9 0.6689 0.9934 0.6689  3 Li 2.55, 3 Zn 2.82
Li10 0.5000 0.0000 0.0000  4 Li 2.55, 4 Zn 2.76
Li11 0.6689 0.6689 0.6689  3 Li 2.55, 3 Zn 2.82
Li12 0.0000 0.5000 0.0000  4 Li 2.55, 4 Zn 2.76
Li13 0.0000 0.0000 0.0000  8 Zn 2.56
Li14 0.5000 0.0000 0.5000  4 Li 2.55, 4 Zn 2.76
Li15 0.0000 0.5000 0.5000  4 Li 2.55, 4 Zn 2.76

ΔH_f (0 K) = -79.9 meV/atom

Taking the records one at a time from the top gives spin magnetization values of 0.000, 0.000 μB per formula unit.
Taking the records one at a time from the top gives calculated volume values of 20.54, 16.89 Å³/atom.